No. 1
# YHo4In5 (PBE-GGA, optimized geometry)
# Formation enthalpy at 0 K = -462 meV per atom
# Total energy = -4.31 eV per atom
data_YHo4In5
_cell_length_a 3.7286
_cell_length_b 3.7286
_cell_length_c 18.9793
_cell_angle_alpha 90.00
_cell_angle_beta 90.00
_cell_angle_gamma 90.00
_symmetry_space_group_name_H-M 'P 4/m m m'
_symmetry_Int_Tables_number 123
_symmetry_space_group_name_Hall '-P 4 2'
loop_
_atom_site_label
_atom_site_type_symbol
_atom_site_fract_x
_atom_site_fract_y
_atom_site_fract_z
Y1 Y 0.0000 0.0000 0.0000
Ho1 Ho 0.0000 0.0000 0.2010
Ho2 Ho 0.0000 0.0000 0.4004
In1 In 0.5000 0.5000 0.1014
In2 In 0.5000 0.5000 0.3007
In3 In 0.5000 0.5000 0.5000

No. 2
# K2TlRu (PBE-GGA, optimized geometry)
# Energy above the lowest structure with this stoichiometry = 0.3722 eV/atom
# Formation enthalpy at 0 K = 828 meV per atom
# Total energy = -2.63 eV per atom
data_K2TlRu
_cell_length_a 5.9166
_cell_length_b 11.1839
_cell_length_c 3.3270
_cell_angle_alpha 90.00
_cell_angle_beta 90.43
_cell_angle_gamma 90.00
_symmetry_space_group_name_H-M 'C 1 2/m 1'
_symmetry_Int_Tables_number 12
loop_
_symmetry_equiv_pos_as_xyz
'x,y,z'
'-x,-y,-z'
'-x,y,-z'
'x,-y,z'
'x+1/2,y+1/2,z'
'-x+1/2,-y+1/2,-z'
'-x+1/2,y+1/2,-z'
'x+1/2,-y+1/2,z'
loop_
_atom_site_label
_atom_site_type_symbol
_atom_site_fract_x
_atom_site_fract_y
_atom_site_fract_z
K1 K 0.2500 0.2500 0.0000
Tl1 Tl 0.0000 0.0000 0.5000
Ru1 Ru 0.0000 0.5000 0.5000

No. 3
# Na12CuSb7 (PBE-GGA, optimized geometry)
# Total energy = -2.64 eV per atom
data_Na12CuSb7
_cell_length_a 13.8857
_cell_length_b 13.8857
_cell_length_c 10.4216
_cell_angle_alpha 90.00
_cell_angle_beta 90.00
_cell_angle_gamma 120.00
_symmetry_space_group_name_H-M 'R -3'
_symmetry_Int_Tables_number 148
_symmetry_space_group_name_Hall '-R 3'
loop_
_atom_site_label
_atom_site_type_symbol
_atom_site_fract_x
_atom_site_fract_y
_atom_site_fract_z
Na1 Na 0.0366 0.1704 0.2455
Na2 Na 0.0491 0.2516 0.5908
Cu1 Cu 0.0000 0.0000 0.0000
Sb1 Sb 0.0000 0.0000 0.5000
Sb2 Sb 0.0606 0.2280 0.9331

No. 4
# Rb2YB2 (PBE-GGA, optimized geometry)
# Energy above the lowest structure with this stoichiometry = 0.0849 eV/atom
# Formation enthalpy at 0 K = 864 meV per atom
# Total energy = -3.49 eV per atom
data_Rb2YB2
_cell_length_a 4.2645
_cell_length_b 4.2645
_cell_length_c 13.6255
_cell_angle_alpha 90.00
_cell_angle_beta 90.00
_cell_angle_gamma 90.00
_symmetry_space_group_name_H-M 'I 4/m m m'
_symmetry_Int_Tables_number 139
_symmetry_space_group_name_Hall '-I 4 2'
loop_
_atom_site_label
_atom_site_type_symbol
_atom_site_fract_x
_atom_site_fract_y
_atom_site_fract_z
Rb1 Rb 0.0000 0.5000 0.2500
Y1 Y 0.0000 0.0000 0.0000
B1 B 0.0000 0.0000 0.4431

| no. | mass density (g cm⁻³) |
| --- | --- |
| 1 | 8.324 |
| 2 | 5.788 |
| 3 | 3.412 |
| 4 | 3.772 |